The following is a DFT calculation (PBE-GGA) of an optimized crystal structure of GeAsCl2.

Structure (extended XYZ):
```
4
Lattice="1.682 3.561 2.912 -3.087 2.443 2.915 0.160 -0.672 4.849" Properties=species:S:1:pos:R:3 pbc="T T T"
Cl -0.934 3.999 8.007
Cl -0.311 1.333 2.669
As -0.622 2.666 5.338
Ge 0.000 0.000 0.000
```

Summary:
Its formation energy (no corrections) is 0.35 eV/atom. The value obtained for the excess energy over the best structure of this formula in the dataset is 0.194 eV/atom.

***

The following is a DFT calculation (PBE-GGA) of an optimized crystal structure of K2ZnAg3.

Structure (extended XYZ):
```
12
Lattice="5.737 0.000 0.000 0.000 5.853 0.000 0.000 0.000 9.754" Properties=species:S:1:pos:R:3 pbc="T T T"
Ag 1.434 4.441 7.665
Ag 0.000 0.000 0.000
Ag 4.303 4.441 2.089
Ag 1.434 1.412 7.665
Ag 4.303 1.412 2.089
Ag 2.868 0.000 0.000
K 4.303 0.000 6.104
K 1.434 0.000 3.650
K 4.303 2.927 8.461
K 1.434 2.927 1.292
Zn 1.434 2.927 5.497
Zn 4.303 2.927 4.257
```

Summary:
As for the formation energy: 30.1 meV/atom.

***

The following is a DFT calculation (PBE-GGA) of an optimized crystal structure of Mg7Tl2Ga2.

Structure (extended XYZ):
```
11
Lattice="0.676 -5.459 -1.302 2.823 2.554 -4.179 7.808 -1.084 2.809" Properties=species:S:1:pos:R:3 pbc="T T T"
Mg 5.351 -1.058 1.046
Mg 1.922 -2.549 -0.489
Mg 2.751 0.546 -1.600
Mg 9.385 -1.440 -2.182
Mg 5.955 -2.930 -3.718
Mg 8.556 -4.535 -1.072
Mg 0.000 0.000 0.000
Ga 3.199 -1.915 -2.946
Ga 8.108 -2.074 0.275
Tl 5.232 -3.565 -0.772
Tl 6.074 -0.424 -1.900
```

Summary:
The value obtained for the excess energy over the best structure of this formula in the dataset is 0.000 eV/atom. As for the formation energy: -47.3 meV/atom.

***

The following is a DFT calculation (PBE-GGA) of an optimized crystal structure of Dy2PuZrN4.

Structure (extended XYZ):
```
8
Lattice="-1.390 2.508 1.853 -2.330 -4.001 3.667 5.359 1.542 1.933" Properties=species:S:1:pos:R:3 pbc="T T T"
N 3.511 0.187 2.381
N 1.629 -0.612 5.194
N -0.482 -2.646 3.220
N 0.011 0.660 2.259
Pu -1.860 -0.747 2.760
Dy 1.515 -1.230 2.800
Dy 1.984 2.025 1.893
Zr 0.000 0.000 0.000
```

Summary:
Its formation energy (no corrections) is -1.60 eV/atom.

***

The following is a DFT calculation (PBE-GGA) of an optimized crystal structure of Th4Pb2O.

Structure (extended XYZ):
```
7
Lattice="4.798 0.000 0.000 0.000 4.798 0.000 -2.399 -2.399 8.640" Properties=species:S:1:pos:R:3 pbc="T T T"
Th 0.000 2.399 0.000
Th 2.399 0.000 0.000
Th 2.399 2.399 5.716
Th 0.000 0.000 2.924
Pb 0.000 0.000 6.181
Pb 2.399 2.399 2.458
O 0.000 0.000 0.000
```

Summary:
Its formation energy (no corrections) is -0.88 eV/atom.

***

The following is a DFT calculation (PBE-GGA) of an optimized crystal structure of CaNbCr.

Structure (extended XYZ):
```
12
Lattice="-4.123 -2.962 -0.528 1.976 -2.729 -0.115 -0.902 -1.246 14.037" Properties=species:S:1:pos:R:3 pbc="T T T"
Ca -0.495 -0.684 7.705
Ca -2.106 -1.542 0.423
Ca -1.569 -3.530 7.384
Ca 0.944 -1.426 0.629
Cr -2.398 -1.946 4.972
Cr -1.861 -3.934 11.933
Cr 0.651 -1.829 5.178
Cr -0.788 -1.088 12.254
Nb -0.227 -0.314 3.538
Nb 0.309 -2.302 10.499
Nb -2.740 -2.418 10.292
Nb -1.301 -3.160 3.216
```

Summary:
The value obtained for the excess energy over the best structure of this formula in the dataset is 0.342 eV/atom. As for the formation energy: 670.3 meV/atom.

***

The following is a DFT calculation (PBE-GGA) of an optimized crystal structure of Be2CuSe2.

Structure (extended XYZ):
```
5
Lattice="-0.021 -3.344 -3.210 0.711 -3.175 3.302 -3.242 -3.633 0.459" Properties=species:S:1:pos:R:3 pbc="T T T"
Cu 0.000 0.000 0.000
Be -0.894 -3.388 0.189
Be -1.658 -6.763 0.362
Se -1.093 -5.033 1.904
Se -1.459 -5.118 -1.353
```

Summary:
Its formation energy (no corrections) is 0.27 eV/atom. The value obtained for the excess energy over the best structure of this formula in the dataset is 0.047 eV/atom.

***

The following is a DFT calculation (PBE-GGA) of an optimized crystal structure of Li2CaLaRh.

Structure (extended XYZ):
```
5
Lattice="-5.186 0.688 0.181 -0.676 -5.180 0.329 0.218 0.297 5.114" Properties=species:S:1:pos:R:3 pbc="T T T"
Ca -2.822 -2.098 2.812
Li -0.338 -2.590 0.165
Li -2.593 0.344 0.090
La 0.109 0.148 2.557
Rh 0.000 0.000 0.000
```

Summary:
As for the formation energy: -60.4 meV/atom.

***

The following is a DFT calculation (PBE-GGA) of an optimized crystal structure of La2SbHO.

Structure (extended XYZ):
```
5
Lattice="4.072 0.000 0.000 0.000 4.072 0.000 -2.036 -2.036 6.459" Properties=species:S:1:pos:R:3 pbc="T T T"
La 2.036 2.036 1.912
La 0.000 0.000 4.547
Sb 0.000 0.000 0.000
H 0.000 2.036 3.229
O 2.036 0.000 3.229
```

***

The following is a DFT calculation (PBE-GGA) of an optimized crystal structure of LuPaAs2.

Structure (extended XYZ):
```
4
Lattice="-0.677 2.054 -3.438 -0.547 -2.006 -3.489 -6.919 -0.208 -1.160" Properties=species:S:1:pos:R:3 pbc="T T T"
As -6.072 -0.119 -6.072
As -2.072 -0.041 -2.016
Pa 0.000 0.000 0.000
Lu -4.072 -0.080 -4.044
```

Summary:
As for the formation energy: -1236.8 meV/atom.

***

The following is a DFT calculation (PBE-GGA) of an optimized crystal structure of CsFeTe2.

Structure (extended XYZ):
```
8
Lattice="-5.387 -5.266 3.454 2.977 -6.135 -4.710 1.849 -6.702 2.608" Properties=species:S:1:pos:R:3 pbc="T T T"
Fe -1.205 -5.701 -0.628
Fe 1.811 -9.269 -1.365
Cs -2.372 -8.834 2.717
Cs 0.000 0.000 0.000
Te -1.102 -14.220 1.459
Te -1.845 -5.062 1.781
Te 0.962 -6.840 -1.419
Te 0.863 -10.085 0.884
```

Summary:
Its formation energy (no corrections) is -0.33 eV/atom.

***

The following is a DFT calculation (PBE-GGA) of an optimized crystal structure of LuB.

Structure (extended XYZ):
```
4
Lattice="3.464 0.000 -0.010 0.000 3.166 0.000 -1.714 0.000 6.136" Properties=species:S:1:pos:R:3 pbc="T T T"
B 0.001 2.375 0.319
B 1.749 0.792 5.807
Lu 0.014 2.375 4.570
Lu 1.737 0.792 1.556
```

Summary:
As for the formation energy: -422.6 meV/atom.

***

| no. | final energy (eV per formula unit) | DOS at the Fermi energy (states/eV per cell) |
| --- | --- | --- |
| 1 | -11.56 | 3.33 |
| 2 | -11.84 | 3.46 |
| 3 | -22.47 | 4.67 |
| 4 | -78.22 | 6.28 |
| 5 | -48.21 | 5.97 |
| 6 | -19.68 | 14.53 |
| 7 | -17.19 | 2.13 |
| 8 | -18.41 | 4.26 |
| 9 | -31.55 | 1.70 |
| 10 | -28.26 | 4.12 |
| 11 | -16.93 | 10.95 |
| 12 | -12.04 | 2.51 |